<1>
Here is a relaxed La2TlRh crystal from Alexandria via LeMat-Bulk. Energies are from PBE.

calculated volume	29.088	A^3/atom
ρ	8.35	g/cm³

abc: 4.050 15.198 7.562
angles: 90.00 90.00 90.00
Space group Cmcm (No. 63)
Symmetry-distinct sites (fractional):
La (0.000, 0.142, 0.001)
Tl (0.000, 0.500, 0.250)
Rh (0.000, 0.304, 0.750)

=====

<2>
Here is a relaxed La2TlRh crystal from Alexandria via LeMat-Bulk. Energies are from PBE.

calculated volume	28.463	A^3/atom
ρ	8.53	g/cm³

abc: 4.089 4.866 11.446
angles: 90.00 90.00 90.00
Space group Amm2 (No. 38)
Symmetry-distinct sites (fractional):
La (0.000, 0.000, 0.000)
La (0.500, 0.000, 0.302)
Tl (0.500, 0.000, 0.596)
Rh (0.000, 0.000, 0.776)

=====

<3>
Here is a relaxed La2TlRh crystal from Alexandria via LeMat-Bulk. Energies are from PBE.

calculated volume	29.239	A^3/atom
ρ	8.31	g/cm³

abc: 8.289 8.289 6.809
angles: 90.00 90.00 90.00
Space group I-42d (No. 122)
Symmetry-distinct sites (fractional):
La (0.192, 0.250, 0.125)
Tl (0.000, 0.000, 0.500)
Rh (0.000, 0.000, 0.000)

=====

<4>
Here is a relaxed La2TlRh crystal from Alexandria via LeMat-Bulk. Energies are from PBE.

calculated volume	27.901	A^3/atom
ρ	8.71	g/cm³

abc: 4.288 5.760 9.038
angles: 90.00 90.00 90.00
Space group Immm (No. 71)
Symmetry-distinct sites (fractional):
La (0.000, 0.000, 0.205)
Tl (0.000, 0.500, 0.000)
Rh (0.000, 0.500, 0.500)

=====

Stability summary - winner: <1>; margin: 0.075 eV/atom.

=====

<1>
Here is a relaxed La8Tl2Rh crystal from Alexandria via LeMat-Bulk. Energies are from PBE.

calculated volume	31.816	A^3/atom
ρ	7.70	g/cm³

abc: 18.610 5.681 7.039
angles: 90.00 109.85 90.00
Space group C2/m (No. 12)
Symmetry-distinct sites (fractional):
La (0.004, 0.000, 0.279)
La (0.092, 0.500, 0.907)
La (0.147, 0.500, 0.426)
La (0.209, 0.000, 0.746)
Tl (0.177, 0.000, 0.190)
Rh (0.000, 0.500, 0.500)

=====

<2>
Here is a relaxed La8Tl2Rh crystal from Alexandria via LeMat-Bulk. Energies are from PBE.

calculated volume	31.383	A^3/atom
ρ	7.81	g/cm³

abc: 16.496 7.520 5.965
angles: 90.00 111.09 90.00
Space group C2/m (No. 12)
Symmetry-distinct sites (fractional):
La (0.000, 0.228, 0.000)
La (0.131, 0.233, 0.631)
La (0.142, 0.500, 0.141)
Tl (0.193, 0.000, 0.192)
Rh (0.000, 0.500, 0.500)

=====

Stability summary - winner: <1>; margin: 0.060 eV/atom.

=====

<1>
Here is a relaxed La2VRh2 crystal from Alexandria via LeMat-Bulk. Energies are from PBE.

calculated volume	22.624	A^3/atom
ρ	7.85	g/cm³

abc: 7.366 7.366 4.169
angles: 90.00 90.00 90.00
Space group P4/mbm (No. 127)
Symmetry-distinct sites (fractional):
La (0.173, 0.327, 0.000)
V (0.000, 0.000, 0.500)
Rh (0.138, 0.638, 0.500)

=====

<2>
Here is a relaxed La2VRh2 crystal from Alexandria via LeMat-Bulk. Energies are from PBE.

calculated volume	24.774	A^3/atom
ρ	7.17	g/cm³

abc: 5.720 5.720 7.573
angles: 90.00 90.00 90.00
Space group I4/mmm (No. 139)
Symmetry-distinct sites (fractional):
La (0.000, 0.500, 0.250)
V (0.000, 0.000, 0.000)
Rh (0.000, 0.000, 0.319)

=====

Stability summary - winner: <1>; margin: 0.188 eV/atom.

=====

<1>
Here is a relaxed LaV3Rh crystal from Alexandria via LeMat-Bulk. Energies are from PBE.

calculated volume	21.296	A^3/atom
ρ	6.15	g/cm³

abc: 4.740 4.740 4.740
angles: 90.00 90.00 90.00
Space group Pm-3m (No. 221)
Symmetry-distinct sites (fractional):
La (0.000, 0.000, 0.000)
V (0.000, 0.500, 0.500)
Rh (0.500, 0.500, 0.500)

=====

<2>
Here is a relaxed LaV3Rh crystal from Alexandria via LeMat-Bulk. Energies are from PBE.

calculated volume	18.158	A^3/atom
ρ	7.22	g/cm³

abc: 4.494 4.494 4.494
angles: 90.00 90.00 90.00
Space group Pm-3m (No. 221)
Symmetry-distinct sites (fractional):
La (0.000, 0.000, 0.000)
V (0.000, 0.000, 0.500)
Rh (0.500, 0.500, 0.500)

=====

Stability summary - winner: <1>; margin: 1.100 eV/atom.

=====

<1>
Here is a relaxed LaRhW2 crystal from Alexandria via LeMat-Bulk. Energies are from PBE.

calculated volume	19.667	A^3/atom
ρ	12.87	g/cm³

abc: 3.914 3.914 10.271
angles: 90.00 90.00 90.00
Space group I4/mmm (No. 139)
Symmetry-distinct sites (fractional):
La (0.000, 0.000, 0.000)
Rh (0.000, 0.000, 0.500)
W (0.000, 0.500, 0.250)

=====

<2>
Here is a relaxed LaRhW2 crystal from Alexandria via LeMat-Bulk. Energies are from PBE.

calculated volume	18.671	A^3/atom
ρ	13.55	g/cm³

abc: 6.685 6.685 6.685
angles: 90.00 90.00 90.00
Space group F-43m (No. 216)
Symmetry-distinct sites (fractional):
La (0.000, 0.000, 0.000)
Rh (0.250, 0.250, 0.250)
W (0.000, 0.000, 0.500)
W (0.250, 0.250, 0.750)

=====

Stability summary - winner: <2>; margin: 0.144 eV/atom.

=====

<1>
Here is a relaxed LaRhW2 crystal from Alexandria via LeMat-Bulk. Energies are from PBE.

calculated volume	26.161	A^3/atom
ρ	9.67	g/cm³

abc: 4.874 4.874 17.619
angles: 90.00 90.00 90.00
Space group I-42d (No. 122)
Symmetry-distinct sites (fractional):
La (0.000, 0.000, 0.000)
Rh (0.000, 0.000, 0.500)
W (0.015, 0.750, 0.625)

=====

<2>
Here is a relaxed LaRhW2 crystal from Alexandria via LeMat-Bulk. Energies are from PBE.

calculated volume	18.573	A^3/atom
ρ	13.62	g/cm³

abc: 2.827 2.827 9.293
angles: 90.00 90.00 90.00
Space group P4/mmm (No. 123)
Symmetry-distinct sites (fractional):
La (0.000, 0.000, 0.000)
Rh (0.000, 0.000, 0.500)
W (0.500, 0.500, 0.293)

=====

<3>
Here is a relaxed LaRhW2 crystal from Alexandria via LeMat-Bulk. Energies are from PBE.

calculated volume	19.579	A^3/atom
ρ	12.92	g/cm³

abc: 3.195 5.229 9.376
angles: 90.00 90.00 90.00
Space group Imm2 (No. 44)
Symmetry-distinct sites (fractional):
La (0.000, 0.000, 0.000)
Rh (0.000, 0.500, 0.230)
W (0.000, 0.000, 0.496)
W (0.000, 0.500, 0.785)

=====

<4>
Here is a relaxed LaRhW2 crystal from Alexandria via LeMat-Bulk. Energies are from PBE.

calculated volume	18.217	A^3/atom
ρ	13.89	g/cm³

abc: 4.799 4.799 3.164
angles: 90.00 90.00 90.00
Space group P4/mmm (No. 123)
Symmetry-distinct sites (fractional):
La (0.000, 0.000, 0.000)
Rh (0.500, 0.500, 0.000)
W (0.000, 0.500, 0.500)

=====

Stability summary - winner: <2>; margin: 0.081 eV/atom.

=====

<1>
Here is a relaxed LaRhW2 crystal from Alexandria via LeMat-Bulk. Energies are from PBE.

calculated volume	19.461	A^3/atom
ρ	13.00	g/cm³

abc: 3.220 3.220 7.507
angles: 90.00 90.00 90.00
Space group P4mm (No. 99)
Symmetry-distinct sites (fractional):
La (0.000, 0.000, 0.000)
Rh (0.500, 0.500, 0.300)
W (0.000, 0.000, 0.510)
W (0.500, 0.500, 0.695)

=====

<2>
Here is a relaxed LaRhW2 crystal from Alexandria via LeMat-Bulk. Energies are from PBE.

calculated volume	18.462	A^3/atom
ρ	13.70	g/cm³

abc: 3.350 4.742 9.298
angles: 90.00 90.00 90.00
Space group Cmm2 (No. 35)
Symmetry-distinct sites (fractional):
La (0.000, 0.000, 0.000)
Rh (0.000, 0.500, 0.269)
W (0.000, 0.000, 0.485)
W (0.000, 0.500, 0.707)

=====

Stability summary - winner: <1>; margin: 0.105 eV/atom.

=====

<1>
Here is a relaxed LaRhW2 crystal from Alexandria via LeMat-Bulk. Energies are from PBE.

calculated volume	20.487	A^3/atom
ρ	12.35	g/cm³

abc: 3.376 3.376 7.189
angles: 90.00 90.00 90.00
Space group P4/mmm (No. 123)
Symmetry-distinct sites (fractional):
La (0.000, 0.000, 0.000)
Rh (0.000, 0.000, 0.500)
W (0.500, 0.500, 0.330)

=====

<2>
Here is a relaxed LaRhW2 crystal from Alexandria via LeMat-Bulk. Energies are from PBE.

calculated volume	19.192	A^3/atom
ρ	13.18	g/cm³

abc: 3.167 4.587 5.284
angles: 90.00 90.00 90.00
Space group Pmmm (No. 47)
Symmetry-distinct sites (fractional):
La (0.000, 0.000, 0.000)
Rh (0.500, 0.500, 0.000)
W (0.000, 0.500, 0.500)
W (0.500, 0.000, 0.500)

=====

Stability summary - winner: <2>; margin: 0.070 eV/atom.